Density functional theory data (GGA-PBE) for a relaxed structure of K2BaSr2.

As for the crystal system: tetragonal. As for the energy above the most stable polymorph in this dataset: 7.3 kJ/mol of atoms.

It has space group P4/mbm (No. 127), with a = 11.718 Å, b = 11.718 Å, c = 4.610 Å, α = 90.00°, β = 90.00° and γ = 90.00°. Symmetry generates all atoms from K at (0.121, 0.379, 0.000), Ba at (0.000, 0.000, 0.000) and Sr at (0.180, 0.680, 0.500).

---

Density functional theory data (GGA-PBE) for a relaxed structure of K2Ba4Sr.

As for the crystal system: tetragonal. As for the energy above the most stable polymorph in this dataset: 34.5 kJ/mol of atoms.

It has space group I4/mmm (No. 139), with a = 7.145 Å, b = 7.145 Å, c = 21.828 Å, α = 90.00°, β = 90.00° and γ = 90.00°. Symmetry generates all atoms from K at (0.000, 0.000, 0.121), Ba at (0.000, 0.000, 0.324), Ba at (0.000, 0.500, 0.000) and Sr at (0.000, 0.000, 0.500).

---

Density functional theory data (GGA-PBE) for a relaxed structure of KBa2Sr8.

As for the crystal system: monoclinic. As for the energy above the most stable polymorph in this dataset: 1.1 kJ/mol of atoms.

It has space group C2/m (No. 12), with a = 20.643 Å, b = 9.814 Å, c = 6.841 Å, α = 90.00°, β = 109.26° and γ = 90.00°. Symmetry generates all atoms from K at (0.000, 0.000, 0.000), Ba at (0.197, 0.500, 0.697), Sr at (0.000, 0.288, 0.500), Sr at (0.141, 0.287, 0.141) and Sr at (0.166, 0.000, 0.667).

---

Density functional theory data (GGA-PBE) for a relaxed structure of KBa5Sr4.

As for the crystal system: tetragonal. The value obtained for the total energy is -17.1 eV per cell.

It has space group P4/mmm (No. 123), with a = 4.881 Å, b = 4.881 Å, c = 25.572 Å, α = 90.00°, β = 90.00° and γ = 90.00°. Symmetry generates all atoms from K at (0.000, 0.000, 0.000), Ba at (0.500, 0.500, 0.112), Ba at (0.500, 0.500, 0.308), Ba at (0.500, 0.500, 0.500), Sr at (0.000, 0.000, 0.213) and Sr at (0.000, 0.000, 0.403).

---

Density functional theory data (GGA-PBE) for a relaxed structure of K2BaSr2.

As for the crystal system: tetragonal. As for the energy above the most stable polymorph in this dataset: 11.0 kJ/mol of atoms.

It has space group I4/mmm (No. 139), with a = 5.415 Å, b = 5.415 Å, c = 22.346 Å, α = 90.00°, β = 90.00° and γ = 90.00°. Symmetry generates all atoms from K at (0.000, 0.500, 0.250), Ba at (0.000, 0.000, 0.000) and Sr at (0.000, 0.000, 0.408).

---

Density functional theory data (GGA-PBE) for a relaxed structure of K2BaSr2.

As for the crystal system: monoclinic. As for the energy above the most stable polymorph in this dataset: 0.0 kJ/mol of atoms.

It has space group C2/m (No. 12), with a = 14.461 Å, b = 4.222 Å, c = 10.929 Å, α = 90.00°, β = 105.72° and γ = 90.00°. Symmetry generates all atoms from K at (0.108, 0.000, 0.392), Ba at (0.000, 0.500, 0.000) and Sr at (0.201, 0.000, 0.826).

---

Density functional theory data (GGA-PBE) for a relaxed structure of KBaSr2.

As for the crystal system: cubic. As for the energy above the most stable polymorph in this dataset: 6.0 kJ/mol of atoms.

It has space group Fm-3m (No. 225), with a = 9.923 Å, b = 9.923 Å, c = 9.923 Å, α = 90.00°, β = 90.00° and γ = 90.00°. Symmetry generates all atoms from K at (0.000, 0.000, 0.000), Ba at (0.000, 0.000, 0.500) and Sr at (0.250, 0.250, 0.250).

---

Density functional theory data (GGA-PBE) for a relaxed structure of KBa12Sr6.

As for the crystal system: trigonal. The value obtained for the total energy is -101.1 eV per cell.

It has space group R-3 (No. 148, hexagonal axes), with a = 19.3439 Å, b = 19.3439 Å, c = 10.8619 Å, α = 90.00°, β = 90.00° and γ = 120.00°. Symmetry generates all atoms from K at (0.0000, 0.0000, 0.0000), Ba at (0.0160, 0.1411, 0.6637), Ba at (0.0672, 0.5599, 0.6680) and Sr at (0.0353, 0.2823, 0.3312).